ZrBPCl2 | PBE | optimized geometry

a = 4.9930 Å, b = 4.9930 Å, c = 5.1744 Å
α = 90.00°, β = 90.00°, γ = 90.00°
With the nearest neighbours (Å) after each atom.
Atoms (fractional coordinates):
Zr1 0.0000 0.0000 0.0000  4 Cl 2.50, 2 P 2.59
B1 0.5000 0.5000 0.5000  4 P 3.53, 8 Cl 3.60
P1 0.0000 0.0000 0.5000  2 Zr 2.59
Cl1 0.0000 0.5000 0.0000  2 Zr 2.50
Cl2 0.5000 0.0000 0.0000  2 Zr 2.50

Values from the calculation:
Uncorrected formation energy   154 kJ/mol of formula units
E   -0.167 hartree per atom
E above lowest polymorph   0.015 eV per atom